# 1
# Y9ErTm2, relaxed, DFT PBE
# Energy relative to the elements: 0.03 eV per atom
# Raw total energy: -5.946 eV/atom
# Density of states at the Fermi level: 1.486 states/eV per atom
data_Y9ErTm2
_chemical_formula_sum 'Y9 Er1 Tm2'
_space_group_name_H-M_alt 'P 4/m m m'
_space_group_IT_number 123
_space_group_name_Hall '-P 4 2'
_cell_length_a 5.0254
_cell_length_b 5.0254
_cell_length_c 15.0728
_cell_angle_alpha 90.00
_cell_angle_beta 90.00
_cell_angle_gamma 90.00
loop_
_atom_site_label
_atom_site_type_symbol
_atom_site_fract_x
_atom_site_fract_y
_atom_site_fract_z
Y1 Y 0.0000 0.0000 0.0000
Y2 Y 0.0000 0.0000 0.3336
Y3 Y 0.0000 0.5000 0.1670
Y4 Y 0.0000 0.5000 0.5000
Er1 Er 0.5000 0.5000 0.0000
Tm1 Tm 0.5000 0.5000 0.3335

***

# 2
# AcPmVN3, relaxed, DFT PBE
# Uncorrected formation energy: -1.175 eV per atom
# Raw total energy: -8.334 eV/atom
# Density of states at the Fermi level: 0.189 states/eV per atom
data_AcPmVN3
_chemical_formula_sum 'Ac4 Pm4 V4 N12'
_space_group_name_H-M_alt 'C 1 2/m 1'
_space_group_IT_number 12
_space_group_name_Hall '-C 2y'
_cell_length_a 13.3769
_cell_length_b 3.9294
_cell_length_c 7.3398
_cell_angle_alpha 90.00
_cell_angle_beta 105.76
_cell_angle_gamma 90.00
loop_
_atom_site_label
_atom_site_type_symbol
_atom_site_fract_x
_atom_site_fract_y
_atom_site_fract_z
Ac1 Ac 0.1417 0.0000 0.0727
Pm1 Pm 0.1485 0.0000 0.5719
V1 V 0.9999 0.5000 0.2866
N1 N 0.0007 0.0000 0.2723
N2 N 0.1518 0.5000 0.8136
N3 N 0.1546 0.5000 0.3389

***

# 3
# RbZn3Ag, relaxed, DFT PBE
# Energy relative to the elements: 0.07 eV per atom
# Excess energy over the best structure of this formula in the dataset: 0.0 meV/atom
# Raw total energy: -1.454 eV/atom
# Density of states at the Fermi level: 0.357 states/eV per atom
data_RbZn3Ag
_chemical_formula_sum 'Rb4 Zn12 Ag4'
_space_group_name_H-M_alt 'P n m a'
_space_group_IT_number 62
_space_group_name_Hall '-P 2ac 2n'
_cell_length_a 9.5486
_cell_length_b 4.4138
_cell_length_c 11.1160
_cell_angle_alpha 90.00
_cell_angle_beta 90.00
_cell_angle_gamma 90.00
loop_
_atom_site_label
_atom_site_type_symbol
_atom_site_fract_x
_atom_site_fract_y
_atom_site_fract_z
Rb1 Rb 0.1486 0.2500 0.0332
Zn1 Zn 0.0933 0.2500 0.6668
Zn2 Zn 0.1681 0.7500 0.2833
Zn3 Zn 0.1752 0.7500 0.7784
Ag1 Ag 0.0543 0.2500 0.4097

***

# 4
# Mg3AsN, relaxed, DFT PBE
# Uncorrected formation energy: -0.066 eV per atom
# Raw total energy: -3.617 eV/atom
# Density of states at the Fermi level: 0.021 states/eV per atom
data_Mg3AsN
_chemical_formula_sum 'Mg6 As2 N2'
_space_group_name_H-M_alt 'P 63/m m c'
_space_group_IT_number 194
_space_group_name_Hall '-P 6c 2c'
_cell_length_a 4.0554
_cell_length_b 4.0554
_cell_length_c 13.9045
_cell_angle_alpha 90.00
_cell_angle_beta 90.00
_cell_angle_gamma 120.00
loop_
_atom_site_label
_atom_site_type_symbol
_atom_site_fract_x
_atom_site_fract_y
_atom_site_fract_z
Mg1 Mg 0.0000 0.0000 0.2500
Mg2 Mg 0.3333 0.6667 0.0647
As1 As 0.3333 0.6667 0.2500
N1 N 0.0000 0.0000 0.0000

***

# 5
# KSrFe2, relaxed, DFT PBE
# Energy relative to the elements: 1.20 eV per atom
# Excess energy over the best structure of this formula in the dataset: 595.8 meV/atom
# Raw total energy: -3.730 eV/atom
# Density of states at the Fermi level: 1.827 states/eV per atom
data_KSrFe2
_chemical_formula_sum 'K2 Sr2 Fe4'
_space_group_name_H-M_alt 'I 4/m m m'
_space_group_IT_number 139
_space_group_name_Hall '-I 4 2'
_cell_length_a 4.8638
_cell_length_b 4.8638
_cell_length_c 9.1087
_cell_angle_alpha 90.00
_cell_angle_beta 90.00
_cell_angle_gamma 90.00
loop_
_atom_site_label
_atom_site_type_symbol
_atom_site_fract_x
_atom_site_fract_y
_atom_site_fract_z
K1 K 0.0000 0.0000 0.0000
Sr1 Sr 0.0000 0.0000 0.5000
Fe1 Fe 0.0000 0.5000 0.2500

***

# 6
# Ce3Er2PuAs6, relaxed, DFT PBE
# Energy relative to the elements: -1.39 eV per atom
# Raw total energy: -7.150 eV/atom
# Density of states at the Fermi level: 2.179 states/eV per atom
data_Ce3Er2PuAs6
_chemical_formula_sum 'Ce6 Er4 Pu2 As12'
_space_group_name_H-M_alt 'C 1 2/m 1'
_space_group_IT_number 12
_space_group_name_Hall '-C 2y'
_cell_length_a 7.2141
_cell_length_b 12.4953
_cell_length_c 7.1886
_cell_angle_alpha 90.00
_cell_angle_beta 109.54
_cell_angle_gamma 90.00
loop_
_atom_site_label
_atom_site_type_symbol
_atom_site_fract_x
_atom_site_fract_y
_atom_site_fract_z
Ce1 Ce 0.0000 0.0000 0.0000
Ce2 Ce 0.0000 0.3338 0.0000
Er1 Er 0.0000 0.1669 0.5000
Pu1 Pu 0.0000 0.5000 0.5000
As1 As 0.2463 0.0000 0.7438
As2 As 0.2491 0.3326 0.7449

***

# 7
# BiPCl2F, relaxed, DFT PBE
# Uncorrected formation energy: -0.085 eV per atom
# Excess energy over the best structure of this formula in the dataset: 0.0 meV/atom
# Raw total energy: -3.056 eV/atom
# Density of states at the Fermi level: 0.828 states/eV per atom
data_BiPCl2F
_chemical_formula_sum 'Bi1 P1 Cl2 F1'
_space_group_name_H-M_alt 'P 4/m m m'
_space_group_IT_number 123
_space_group_name_Hall '-P 4 2'
_cell_length_a 5.5168
_cell_length_b 5.5168
_cell_length_c 3.6422
_cell_angle_alpha 90.00
_cell_angle_beta 90.00
_cell_angle_gamma 90.00
loop_
_atom_site_label
_atom_site_type_symbol
_atom_site_fract_x
_atom_site_fract_y
_atom_site_fract_z
Bi1 Bi 0.0000 0.0000 0.0000
P1 P 0.5000 0.5000 0.0000
Cl1 Cl 0.0000 0.5000 0.5000
F1 F 0.5000 0.5000 0.5000

***

# 8
# LiNb2Ru, relaxed, DFT PBE
# Energy relative to the elements: 0.45 eV per atom
# Raw total energy: -7.378 eV/atom
# Density of states at the Fermi level: 0.726 states/eV per atom
data_LiNb2Ru
_chemical_formula_sum 'Li4 Nb8 Ru4'
_space_group_name_H-M_alt 'I -4 2 d'
_space_group_IT_number 122
_space_group_name_Hall 'I -4 2bw'
_cell_length_a 7.1649
_cell_length_b 7.1649
_cell_length_c 5.4520
_cell_angle_alpha 90.00
_cell_angle_beta 90.00
_cell_angle_gamma 90.00
loop_
_atom_site_label
_atom_site_type_symbol
_atom_site_fract_x
_atom_site_fract_y
_atom_site_fract_z
Li1 Li 0.0000 0.0000 0.0000
Nb1 Nb 0.2237 0.7500 0.6250
Ru1 Ru 0.0000 0.0000 0.5000

***

- Which formula does entry 1 have?
  Y9ErTm2

***

- Which value of density of states at the Fermi level does entry 4 give?
  0.021 states/eV per atom